No. 1
Compound: LiO
Source: Alexandria via LeMat-Bulk
Functional: GGA-PBE
Structure: relaxed

a b c (Å): 3.947 3.539 5.772
angles (deg): 90.00 112.95 90.00
Fractional positions:
Li  0.751  0.000  0.217
Li  0.249  0.000  0.783
Li  0.751  0.500  0.717
Li  0.249  0.500  0.283
O  0.817  0.000  0.886
O  0.183  0.000  0.114
O  0.817  0.500  0.386
O  0.183  0.500  0.614

Uncorrected formation energy = -32.1 kcal/mol of atoms
Density of states at the Fermi level = 0.000 states/eV/atom
Crystal system = monoclinic
Symmetry = C2/m

=====

No. 2
Compound: LiO
Source: Alexandria via LeMat-Bulk
Functional: GGA-PBE
Structure: relaxed

a b c (Å): 4.484 4.484 4.484
angles (deg): 90.00 90.00 90.00
Fractional positions:
Li  0.250  0.250  0.250
Li  0.250  0.750  0.750
Li  0.750  0.250  0.750
Li  0.750  0.750  0.250
O  0.000  0.000  0.000
O  0.000  0.500  0.500
O  0.500  0.000  0.500
O  0.500  0.500  0.000

Uncorrected formation energy = -19.7 kcal/mol of atoms
Density of states at the Fermi level = 0.994 states/eV/atom
Crystal system = cubic
Symmetry = F-43m

=====

Number 1: energy relative to the lowest polymorph listed for this composition 11 meV per atom. Number 2: energy relative to the lowest polymorph listed for this composition 550 meV per atom.